Below is an optimized crystal structure of CeThPa2C4, with properties calculated at the PBE level.

a b c (Å): 6.353 3.653 6.373
angles (deg): 90.00 109.71 90.00
Space group P2/m (No. 10)
Asymmetric unit:
1 Ce 0.000 0.000 0.000 x1
2 Th 0.500 0.500 0.000 x1
3 Pa 0.000 0.500 0.500 x1
4 Pa 0.500 0.000 0.500 x1
5 C 0.240 0.000 0.724 x2
6 C 0.258 0.500 0.275 x2

Output
The formation energy comes out at -0.3360 eV per atom.

=====

Below is an optimized crystal structure of CeTh2PaC4, with properties calculated at the PBE level.

a b c (Å): 6.436 3.704 6.437
angles (deg): 90.00 109.73 90.00
Space group P2/m (No. 10)
Asymmetric unit:
1 Ce 0.000 0.000 0.000 x1
2 Th 0.000 0.500 0.500 x1
3 Th 0.500 0.000 0.500 x1
4 Pa 0.500 0.500 0.000 x1
5 C 0.256 0.500 0.237 x2
6 C 0.266 0.000 0.769 x2

Output
The formation energy comes out at -0.2718 eV per atom.

=====

Result set for total DFT energy (no corrections): -71.93 -69.34 eV per cell, one per record in the order listed.